# Mo2IrPbF PBE+U optimized geometry
# VASP energy = -4.93 eV/atom
data_Mo2IrPbF
_chemical_formula_sum 'Mo2 Ir1 Pb1 F1'
_space_group_name_H-M_alt 'P 4/m m m'
_space_group_IT_number 123
_space_group_name_Hall '-P 4 2'
_cell_length_a 5.212
_cell_length_b 5.212
_cell_length_c 5.192
_cell_angle_alpha 90.00
_cell_angle_beta 90.00
_cell_angle_gamma 90.00
loop_
_atom_site_label
_atom_site_type_symbol
_atom_site_fract_x
_atom_site_fract_y
_atom_site_fract_z
_atom_site_occupancy
Mo1 Mo 0.000 0.500 0.000 1
Ir1 Ir 0.000 0.000 0.000 1
Pb1 Pb 0.000 0.000 0.500 1
F1 F 0.500 0.500 0.500 1